First-principles (GGA-PBE) data for an optimized crystal structure of Ac2Tb2Se2S3, as listed in Alexandria.

Values from the calculation:
Final energy: -5.830 eV per atom
Space-group type: I4/mmm, No. 139
E_form (uncorrected): -1.738 eV per atom

abc: 10.418 10.418 10.418
angles: 151.43 151.43 40.85
Atoms (fractional coordinates):
Ac 0.178 0.178 0.000
Ac 0.822 0.822 0.000
Tb 0.000 0.500 0.500
Tb 0.500 0.000 0.500
Se 0.408 0.408 0.000
Se 0.592 0.592 0.000
S 0.000 0.000 0.000
S 0.250 0.750 0.500
S 0.750 0.250 0.500